# 1
TbYAlHg: relaxed, PBE-GGA.

Geometry as POSCAR:
```
TbYAlHg
1.0
5.2218 0.0000 0.0000
2.6109 4.5222 0.0000
2.6109 1.5074 4.2636
Tb Al Hg Y
1 1 1 1
Cartesian
2.6109 1.5074 1.0659 Tb
0.0000 0.0000 0.0000 Al
5.2218 3.0148 2.1318 Hg
7.8328 4.5222 3.1977 Y
```

Summary:
calculated formation energy = -1.67 eV per formula unit

***

# 2
HOsRh: relaxed, PBE-GGA.

Geometry as POSCAR:
```
HOsRh
1.0
2.7262 0.0000 0.0000
0.0000 4.2206 0.0000
0.0000 0.0000 12.3744
Rh Os H
4 4 4
Cartesian
2.0439 1.0552 4.2082 Rh
0.6823 3.1655 8.1662 Rh
0.6808 1.0552 1.9790 Rh
2.0454 3.1655 10.3954 Rh
2.0447 1.0552 11.9454 Os
0.6816 1.0552 6.6163 Os
2.0446 3.1655 5.7582 Os
0.6815 3.1655 0.4290 Os
2.0470 1.0552 10.2209 H
2.0423 3.1655 4.0337 H
0.6792 3.1655 2.1535 H
0.6839 1.0552 8.3407 H
```

***

| no. | energy relative to the lowest polymorph listed for this composition (meV per atom) |
| --- | --- |
| 1 | 30 |
| 2 | 232 |